(1)
An optimized crystal structure of LiTb3Ho4S8. Source: Alexandria via LeMat-Bulk, functional GGA-PBE.

Computed properties:
As for the total magnetization: 0.00 μB per formula unit. As for the uncorrected formation energy: -1.96 eV per atom. As for the volume: 332.9 Å³/f.u. The symmetry is R-3m (166). The value obtained for the density of states at the Fermi level is 7.9 states/eV/f.u.

a b c (Å): 7.779 7.779 7.779
angles (deg): 60.02 60.02 60.02
Sites, in units of the cell vectors:
1 Li 0.000 0.000 0.000
2 Tb 0.000 0.500 0.500
3 Tb 0.500 0.000 0.500
4 Tb 0.500 0.500 0.000
5 Ho 0.000 0.000 0.500
6 Ho 0.000 0.500 0.000
7 Ho 0.500 0.000 0.000
8 Ho 0.500 0.500 0.500
9 S 0.244 0.754 0.754
10 S 0.246 0.246 0.756
11 S 0.246 0.756 0.246
12 S 0.249 0.249 0.249
13 S 0.751 0.751 0.751
14 S 0.754 0.244 0.754
15 S 0.754 0.754 0.244
16 S 0.756 0.246 0.246



(2)
An optimized crystal structure of LiTbHo2S4. Source: Alexandria via LeMat-Bulk, functional GGA-PBE.

Computed properties:
As for the total magnetization: 0.00 μB per formula unit. As for the uncorrected formation energy: -1.94 eV per atom. As for the volume: 164.7 Å³/f.u. The symmetry is P2/m (10). The value obtained for the density of states at the Fermi level is 2.5 states/eV/f.u.

a b c (Å): 6.715 3.871 6.716
angles (deg): 90.00 109.37 90.00
Sites, in units of the cell vectors:
1 Li 0.000 0.000 0.000
2 Tb 0.000 0.500 0.500
3 Ho 0.500 0.000 0.500
4 Ho 0.500 0.500 0.000
5 S 0.248 0.500 0.245
6 S 0.249 0.000 0.756
7 S 0.751 0.000 0.244
8 S 0.752 0.500 0.755



(3)
An optimized crystal structure of LiTb3Ho2S6. Source: Alexandria via LeMat-Bulk, functional GGA-PBE.

Computed properties:
As for the total magnetization: 0.00 μB per formula unit. As for the uncorrected formation energy: -1.96 eV per atom. As for the volume: 249.2 Å³/f.u. The symmetry is C2/m (12). The value obtained for the density of states at the Fermi level is 4.5 states/eV/f.u.

a b c (Å): 6.728 6.728 6.752
angles (deg): 99.59 99.59 120.14
Sites, in units of the cell vectors:
1 Li 0.000 0.000 0.000
2 Tb 0.166 0.834 0.500
3 Tb 0.500 0.500 0.500
4 Tb 0.834 0.166 0.500
5 Ho 0.334 0.666 0.000
6 Ho 0.666 0.334 0.000
7 S 0.081 0.408 0.243
8 S 0.245 0.245 0.760
9 S 0.408 0.081 0.243
10 S 0.592 0.919 0.757
11 S 0.755 0.755 0.240
12 S 0.919 0.592 0.757



(4)
An optimized crystal structure of LiTb2HoS5. Source: Alexandria via LeMat-Bulk, functional GGA-PBE.

Computed properties:
As for the total magnetization: 0.00 μB per formula unit. As for the uncorrected formation energy: -1.89 eV per atom. As for the volume: 185.8 Å³/f.u. The symmetry is Cmc2_1 (36).

a b c (Å): 8.332 8.332 11.775
angles (deg): 90.00 90.00 152.96
Sites, in units of the cell vectors:
1 Li 0.013 0.987 0.500
2 Li 0.987 0.013 0.000
3 Tb 0.376 0.624 0.313
4 Tb 0.393 0.607 0.703
5 Tb 0.607 0.393 0.203
6 Tb 0.624 0.376 0.813
7 Ho 0.303 0.697 0.020
8 Ho 0.697 0.303 0.520
9 S 0.000 0.000 0.303
10 S 0.000 0.000 0.803
11 S 0.137 0.863 0.019
12 S 0.192 0.808 0.360
13 S 0.214 0.786 0.681
14 S 0.454 0.546 0.093
15 S 0.546 0.454 0.593
16 S 0.786 0.214 0.181
17 S 0.808 0.192 0.860
18 S 0.863 0.137 0.519



(5)
An optimized crystal structure of LiTb4HoS8. Source: Alexandria via LeMat-Bulk, functional GGA-PBE.

Computed properties:
As for the total magnetization: 0.00 μB per formula unit. As for the uncorrected formation energy: -1.97 eV per atom. As for the volume: 366.6 Å³/f.u. The symmetry is R3m (160). The value obtained for the density of states at the Fermi level is 0.0 states/eV/f.u.

a b c (Å): 8.022 8.022 8.022
angles (deg): 60.18 60.18 60.18
Sites, in units of the cell vectors:
1 Li 0.000 0.000 0.000
2 Tb 0.370 0.370 0.888
3 Tb 0.370 0.888 0.370
4 Tb 0.750 0.750 0.750
5 Tb 0.888 0.370 0.370
6 Ho 0.370 0.370 0.370
7 S 0.131 0.131 0.131
8 S 0.133 0.133 0.605
9 S 0.133 0.605 0.133
10 S 0.151 0.615 0.615
11 S 0.605 0.133 0.133
12 S 0.615 0.151 0.615
13 S 0.615 0.615 0.151
14 S 0.616 0.616 0.616



(6)
An optimized crystal structure of LiTbHo4S8. Source: Alexandria via LeMat-Bulk, functional GGA-PBE.

Computed properties:
As for the total magnetization: 0.00 μB per formula unit. As for the uncorrected formation energy: -1.97 eV per atom. As for the volume: 360.4 Å³/f.u. The symmetry is R3m (160). The value obtained for the density of states at the Fermi level is 0.0 states/eV/f.u.

a b c (Å): 7.999 7.999 7.999
angles (deg): 59.82 59.82 59.82
Sites, in units of the cell vectors:
1 Li 0.000 0.000 0.000
2 Tb 0.371 0.371 0.371
3 Ho 0.370 0.370 0.889
4 Ho 0.370 0.889 0.370
5 Ho 0.750 0.750 0.750
6 Ho 0.889 0.370 0.370
7 S 0.130 0.130 0.606
8 S 0.130 0.606 0.130
9 S 0.132 0.132 0.132
10 S 0.150 0.618 0.618
11 S 0.606 0.130 0.130
12 S 0.616 0.616 0.616
13 S 0.618 0.150 0.618
14 S 0.618 0.618 0.150



(7)
An optimized crystal structure of Li2TbHoS4. Source: Alexandria via LeMat-Bulk, functional GGA-PBE.

Computed properties:
As for the total magnetization: 0.00 μB per formula unit. As for the uncorrected formation energy: -1.85 eV per atom. As for the volume: 163.8 Å³/f.u. The symmetry is P2/m (10). The value obtained for the density of states at the Fermi level is 0.0 states/eV/f.u.

a b c (Å): 6.572 3.915 6.779
angles (deg): 90.00 110.09 90.00
Sites, in units of the cell vectors:
1 Li 0.000 0.000 0.000
2 Li 0.000 0.500 0.500
3 Tb 0.500 0.000 0.500
4 Ho 0.500 0.500 0.000
5 S 0.249 0.500 0.248
6 S 0.250 0.000 0.752
7 S 0.750 0.000 0.248
8 S 0.751 0.500 0.752



(8)
An optimized crystal structure of LiTb2HoS4. Source: Alexandria via LeMat-Bulk, functional GGA-PBE.

Computed properties:
As for the total magnetization: 0.00 μB per formula unit. As for the uncorrected formation energy: -1.94 eV per atom. As for the volume: 165.8 Å³/f.u. The symmetry is P2/m (10). The value obtained for the density of states at the Fermi level is 2.5 states/eV/f.u.

a b c (Å): 6.724 3.884 6.729
angles (deg): 90.00 109.40 90.00
Sites, in units of the cell vectors:
1 Li 0.000 0.000 0.000
2 Tb 0.000 0.500 0.500
3 Tb 0.500 0.000 0.500
4 Ho 0.500 0.500 0.000
5 S 0.245 0.500 0.242
6 S 0.247 0.000 0.758
7 S 0.753 0.000 0.242
8 S 0.755 0.500 0.758



(9)
An optimized crystal structure of Li3TbHo2S6. Source: Alexandria via LeMat-Bulk, functional GGA-PBE.

Computed properties:
As for the total magnetization: 0.00 μB per formula unit. As for the uncorrected formation energy: -1.85 eV per atom. As for the volume: 244.9 Å³/f.u. The symmetry is C2/m (12). The value obtained for the density of states at the Fermi level is 0.0 states/eV/f.u.

a b c (Å): 6.769 6.769 6.571
angles (deg): 99.89 99.89 120.00
Sites, in units of the cell vectors:
1 Li 0.000 0.000 0.000
2 Li 0.333 0.667 0.000
3 Li 0.667 0.333 0.000
4 Tb 0.500 0.500 0.500
5 Ho 0.167 0.833 0.500
6 Ho 0.833 0.167 0.500
7 S 0.081 0.417 0.250
8 S 0.248 0.248 0.750
9 S 0.417 0.081 0.250
10 S 0.583 0.919 0.750
11 S 0.752 0.752 0.250
12 S 0.919 0.583 0.750



(10)
An optimized crystal structure of LiHoThS4. Source: Alexandria via LeMat-Bulk, functional GGA-PBE.

Computed properties:
As for the total magnetization: 0.00 μB per formula unit. As for the uncorrected formation energy: -1.87 eV per atom. As for the volume: 185.3 Å³/f.u. The symmetry is Imma (74). The value obtained for the density of states at the Fermi level is 0.0 states/eV/f.u.

a b c (Å): 8.059 8.059 8.059
angles (deg): 121.68 117.96 90.34
Sites, in units of the cell vectors:
1 Li 0.383 0.133 0.250
2 Li 0.617 0.867 0.750
3 Ho 0.000 0.000 0.500
4 Ho 0.000 0.500 0.000
5 Th 0.000 0.500 0.500
6 Th 0.500 0.500 0.000
7 S 0.224 0.744 0.480
8 S 0.236 0.256 0.980
9 S 0.242 0.253 0.511
10 S 0.242 0.731 0.989
11 S 0.758 0.269 0.011
12 S 0.758 0.747 0.489
13 S 0.764 0.744 0.020
14 S 0.776 0.256 0.520



(11)
An optimized crystal structure of Li4Ho3ThS8. Source: Alexandria via LeMat-Bulk, functional GGA-PBE.

Computed properties:
As for the total magnetization: 0.00 μB per formula unit. As for the uncorrected formation energy: -1.79 eV per atom. As for the volume: 328.2 Å³/f.u. The symmetry is R-3m (166). The value obtained for the density of states at the Fermi level is 3.0 states/eV/f.u.

a b c (Å): 7.664 7.664 7.664
angles (deg): 61.39 61.39 61.39
Sites, in units of the cell vectors:
1 Li 0.000 0.000 0.000
2 Li 0.000 0.500 0.500
3 Li 0.500 0.000 0.500
4 Li 0.500 0.500 0.000
5 Ho 0.000 0.000 0.500
6 Ho 0.000 0.500 0.000
7 Ho 0.500 0.000 0.000
8 Th 0.500 0.500 0.500
9 S 0.245 0.245 0.753
10 S 0.245 0.753 0.245
11 S 0.247 0.755 0.755
12 S 0.250 0.250 0.250
13 S 0.750 0.750 0.750
14 S 0.753 0.245 0.245
15 S 0.755 0.247 0.755
16 S 0.755 0.755 0.247



(12)
An optimized crystal structure of Li3Ho2ThS6. Source: Alexandria via LeMat-Bulk, functional GGA-PBE.

Computed properties:
As for the total magnetization: 0.00 μB per formula unit. As for the uncorrected formation energy: -1.77 eV per atom. As for the volume: 247.3 Å³/f.u. The symmetry is C2/m (12). The value obtained for the density of states at the Fermi level is 3.7 states/eV/f.u.

a b c (Å): 6.785 6.785 6.604
angles (deg): 99.82 99.82 120.04
Sites, in units of the cell vectors:
1 Li 0.000 0.000 0.000
2 Li 0.330 0.670 0.000
3 Li 0.670 0.330 0.000
4 Ho 0.166 0.834 0.500
5 Ho 0.834 0.166 0.500
6 Th 0.500 0.500 0.500
7 S 0.076 0.415 0.244
8 S 0.246 0.246 0.757
9 S 0.415 0.076 0.244
10 S 0.585 0.924 0.756
11 S 0.754 0.754 0.243
12 S 0.924 0.585 0.756



Question: volume of number 5 (LiTb4HoS8)?
Answer: 366.6 Å³/f.u.



Question: Number 5 is which compound?
Answer: LiTb4HoS8



Question: Which of these has the lowest volume?
Answer: Li2TbHoS4